No. 1
DFT (PBEsol) results for an optimized crystal structure of LiLa2OsO6.

Summary:
The density is 7.7 g/cm3. Its density of states at the Fermi level is 0.035 states/eV/atom. The value obtained for the energy relative to the elements, uncorrected is -2.477 eV/atom.

Cell: 5.5051 5.7041 9.5280 Å, 90.00 125.03 90.00°
Last column: nearest neighbours and their distance in Å.
Space group P2_1/c (No. 14)
One atom of each set of equivalent atoms:
Li 0.0000 0.0000 0.0000 x2  6 O 2.06-2.12
La 0.2374 0.0563 0.7489 x4  6 O 2.39-2.64
Os 0.5000 0.0000 0.5000 x2  6 O 1.97-1.98
O 0.1669 0.1942 0.4563 x4  1 Os 1.97, 1 Li 2.12
O 0.2620 0.7141 0.4533 x4  1 Os 1.98, 1 Li 2.12
O 0.3413 0.0238 0.2555 x4  1 Os 1.97, 1 Li 2.06


No. 2
DFT (PBEsol) results for an optimized crystal structure of LiLa2RuO6.

Summary:
The density is 6.7 g/cm3. Its density of states at the Fermi level is 0.035 states/eV/atom. The value obtained for the energy relative to the elements, uncorrected is -2.491 eV/atom.

Cell: 5.4863 5.6424 9.4981 Å, 90.00 125.18 90.00°
Last column: nearest neighbours and their distance in Å.
Space group P2_1/c (No. 14)
One atom of each set of equivalent atoms:
Li 0.0000 0.0000 0.0000 x2  6 O 2.05-2.10
La 0.2390 0.0530 0.7490 x4  6 O 2.39-2.63
Ru 0.5000 0.0000 0.5000 x2  6 O 1.94-1.95
O 0.1719 0.1959 0.4581 x4  1 Ru 1.95, 1 Li 2.10
O 0.2618 0.7159 0.4556 x4  1 Ru 1.95, 1 Li 2.10
O 0.3380 0.0206 0.2566 x4  1 Ru 1.94, 1 Li 2.05


No. 3
DFT (PBEsol) results for an optimized crystal structure of LiLaSO.

Summary:
The density is 4.7 g/cm3. Its density of states at the Fermi level is 0.000 states/eV/atom. The value obtained for the energy relative to the elements, uncorrected is -2.509 eV/atom.

Cell: 3.9720 3.9720 8.6291 Å, 90.00 90.00 90.00°
Last column: nearest neighbours and their distance in Å.
Space group P4/nmm (No. 129, origin choice 2)
One atom of each set of equivalent atoms:
Li 0.2500 0.7500 0.0000 x2  4 S 2.43
La 0.2500 0.2500 0.3560 x2  4 O 2.34
S 0.2500 0.2500 0.8368 x2  4 Li 2.43
O 0.2500 0.7500 0.5000 x2  4 La 2.34


No. 4
DFT (PBEsol) results for an optimized crystal structure of LiLa2SO.

Summary:
The density is 4.5 g/cm3. Its density of states at the Fermi level is 0.564 states/eV/atom. The value obtained for the energy relative to the elements, uncorrected is -1.171 eV/atom.

Cell: 4.6181 4.6181 5.7437 Å, 90.00 90.00 90.00°
Last column: nearest neighbours and their distance in Å.
Space group P4/mmm (No. 123)
One atom of each set of equivalent atoms:
Li 0.0000 0.0000 0.0000 x1  4 S 3.27
La 0.0000 0.5000 0.5000 x2  2 O 2.31
S 0.5000 0.5000 0.0000 x1  2 O 2.87
O 0.5000 0.5000 0.5000 x1  4 La 2.31


density of number 3 (LiLaSO)? 4.7 g/cm3


What is the energy relative to the elements, uncorrected in the second record? -2.491 eV/atom


Which of these has the lowest density? LiLa2SO


Among the records above, which one has the highest energy relative to the elements, uncorrected? LiLa2SO